#1
# SrB3Au, optimized geometry, DFT PBE
data_SrB3Au
_chemical_formula_sum 'Sr1 B3 Au1'
_cell_length_a 4.353
_cell_length_b 4.353
_cell_length_c 4.353
_cell_angle_alpha 90.00
_cell_angle_beta 90.00
_cell_angle_gamma 90.00
_space_group_name_H-M_alt 'P 1'
_space_group_IT_number 1
loop_
_space_group_symop_operation_xyz
'x,y,z'
loop_
_atom_site_label
_atom_site_type_symbol
_atom_site_fract_x
_atom_site_fract_y
_atom_site_fract_z
Sr1 Sr 0.500 0.500 0.500
B1 B 0.000 0.500 0.000
B2 B 0.000 0.000 0.500
B3 B 0.500 0.000 0.000
Au1 Au 0.000 0.000 0.000
# Calculated density   6.4 g cm⁻³
# Fermi-level density of states   4.716 states/eV/f.u.



#2
# SrB3Au, optimized geometry, DFT PBE
data_SrB3Au
_chemical_formula_sum 'Sr1 B3 Au1'
_cell_length_a 4.902
_cell_length_b 4.902
_cell_length_c 4.902
_cell_angle_alpha 90.00
_cell_angle_beta 90.00
_cell_angle_gamma 90.00
_space_group_name_H-M_alt 'P 1'
_space_group_IT_number 1
loop_
_space_group_symop_operation_xyz
'x,y,z'
loop_
_atom_site_label
_atom_site_type_symbol
_atom_site_fract_x
_atom_site_fract_y
_atom_site_fract_z
Sr1 Sr 0.000 0.000 0.000
B1 B 0.000 0.500 0.000
B2 B 0.000 0.000 0.500
B3 B 0.500 0.000 0.000
Au1 Au 0.500 0.500 0.500
# Calculated density   4.5 g cm⁻³
# Fermi-level density of states   7.664 states/eV/f.u.



Relative to the most stable structure, the computed energies are #1 0; #2 1642, all in meV per atom.